Record 1
First-principles (PBE-GGA) data for a relaxed KRb3Au2 crystal, as listed in Alexandria.

Magnetic moment in μB/f.u.: 0.00
Calculated formation energy in meV per atom: -215

Unit cell a=20.7375 b=4.9689 c=13.5092 alpha=90.00 beta=119.00 gamma=90.00
Space group C2/m (No. 12)
Unique sites:
K (0.1792, 0.0000, 0.2632) [4 per cell]
Rb (0.0922, 0.5000, 0.4363) [4 per cell]
Rb (0.0960, 0.5000, 0.9575) [4 per cell]
Rb (0.1629, 0.0000, 0.7506) [4 per cell]
Au (0.2347, 0.0000, 0.5455) [4 per cell]
Au (0.2365, 0.0000, 0.0486) [4 per cell]


Record 2
First-principles (PBE-GGA) data for a relaxed KRbAu crystal, as listed in Alexandria.

Magnetic moment in μB/f.u.: 0.00
Calculated formation energy in meV per atom: -198

Unit cell a=10.9544 b=5.9775 c=8.3979 alpha=90.00 beta=90.00 gamma=90.00
Space group Pnma (No. 62)
Unique sites:
K (0.1645, 0.2500, 0.1573) [4 per cell]
Rb (0.0795, 0.2500, 0.7027) [4 per cell]
Au (0.1327, 0.7500, 0.9605) [4 per cell]


Record 3
First-principles (PBE-GGA) data for a relaxed K2RbAu2 crystal, as listed in Alexandria.

Magnetic moment in μB/f.u.: 0.00
Calculated formation energy in meV per atom: -241

Unit cell a=9.4906 b=9.4906 c=4.2285 alpha=90.00 beta=90.00 gamma=90.00
Space group P4/mbm (No. 127)
Unique sites:
K (0.1384, 0.3616, 0.0000) [4 per cell]
Rb (0.0000, 0.0000, 0.5000) [2 per cell]
Au (0.1564, 0.6564, 0.5000) [4 per cell]


Record 4
First-principles (PBE-GGA) data for a relaxed KRb7Au2 crystal, as listed in Alexandria.

Magnetic moment in μB/f.u.: 0.00
Calculated formation energy in meV per atom: -95

Unit cell a=11.2366 b=18.2249 c=6.8457 alpha=90.00 beta=90.00 gamma=90.00
Space group Cmmm (No. 65)
Unique sites:
K (0.0000, 0.0000, 0.0000) [2 per cell]
Rb (0.0000, 0.2994, 0.0000) [4 per cell]
Rb (0.0000, 0.5000, 0.5000) [2 per cell]
Rb (0.1921, 0.1429, 0.5000) [8 per cell]
Au (0.0000, 0.3035, 0.5000) [4 per cell]


Record 5
First-principles (PBE-GGA) data for a relaxed KRb7Au3 crystal, as listed in Alexandria.

Magnetic moment in μB/f.u.: 0.00
Calculated formation energy in meV per atom: -153

Unit cell a=16.2893 b=9.8757 c=11.7585 alpha=90.00 beta=133.15 gamma=90.00
Space group Cm (No. 8)
Unique sites:
K (0.0000, 0.0000, 0.0000) [2 per cell]
Rb (0.0072, 0.5000, 0.0004) [2 per cell]
Rb (0.1015, 0.5000, 0.6718) [2 per cell]
Rb (0.1043, 0.0000, 0.6736) [2 per cell]
Rb (0.2613, 0.2477, 0.5031) [4 per cell]
Rb (0.3457, 0.2525, 0.1671) [4 per cell]
Au (0.0534, 0.0000, 0.3319) [2 per cell]
Au (0.3070, 0.2534, 0.8380) [4 per cell]


Record 6
First-principles (PBE-GGA) data for a relaxed K7Rb12Au crystal, as listed in Alexandria.

Magnetic moment in μB/f.u.: 0.00
Calculated formation energy in meV per atom: 0

Unit cell a=25.5828 b=25.5828 c=8.5099 alpha=90.00 beta=90.00 gamma=120.00
Space group R-3m (No. 166, hexagonal axes)
Unique sites:
K (0.0000, 0.0000, 0.0000) [3 per cell]
K (0.0702, 0.1404, 0.3354) [18 per cell]
Rb (0.0000, 0.4108, 0.0000) [18 per cell]
Rb (0.1023, 0.5512, 0.5131) [18 per cell]
Au (0.0000, 0.0000, 0.5000) [3 per cell]